Entry 1:
The following is a PBE calculation of crystalline RbHgSeN2 at its relaxed geometry, from Alexandria.

abc: 5.446 5.446 6.817
angles: 90.00 90.00 90.00
Fractional coordinates of all 5 atoms:
Rb (0.000, 0.000, 0.000)
Hg (0.500, 0.500, 0.500)
Se (0.000, 0.000, 0.500)
N (0.000, 0.500, 0.000)
N (0.500, 0.000, 0.000)

**Space-group type**: P4/mmm
**Formation energy (no corrections)**: 2.020 eV per atom
**Relative energy among the computed polymorphs**: 0.643 eV per atom
**Calculated volume**: 202.2 Å³ per cell
**Crystal system**: tetragonal

Entry 2:
The following is a PBE calculation of crystalline CdCo2As at its relaxed geometry, from Alexandria.

abc: 5.489 5.489 5.489
angles: 104.95 104.95 118.95
Fractional coordinates of all 8 atoms:
Cd (0.000, 0.000, 0.000)
Cd (0.750, 0.250, 0.500)
Co (0.181, 0.625, 0.056)
Co (0.375, 0.431, 0.556)
Co (0.569, 0.125, 0.944)
Co (0.875, 0.819, 0.444)
As (0.250, 0.750, 0.500)
As (0.500, 0.500, 0.000)

**ΔH_f (0 K)**: 337 meV per atom
**Space-group type**: I-42d
**Relative energy among the computed polymorphs**: 0.256 eV per atom
**Calculated volume**: 124.6 Å³ per cell
**Crystal system**: tetragonal

Entry 3:
The following is a PBE calculation of crystalline AcGaAgPd2 at its relaxed geometry, from Alexandria.

abc: 7.204 7.204 5.928
angles: 90.00 90.00 134.39
Fractional coordinates of all 10 atoms:
Ac (0.250, 0.750, 0.779)
Ac (0.750, 0.250, 0.221)
Ga (0.250, 0.250, 0.500)
Ga (0.750, 0.750, 0.500)
Ag (0.000, 0.000, 0.000)
Ag (0.500, 0.500, 0.000)
Pd (0.146, 0.854, 0.322)
Pd (0.354, 0.646, 0.322)
Pd (0.646, 0.354, 0.678)
Pd (0.854, 0.146, 0.678)

**ΔH_f (0 K)**: -498 meV per atom
**Space-group type**: Cmme
**Calculated volume**: 219.9 Å³ per cell
**Crystal system**: orthorhombic

Entry 4:
The following is a PBE calculation of crystalline Sm6Si2PtCl3 at its relaxed geometry, from Alexandria.

abc: 9.367 9.367 8.514
angles: 101.97 101.97 25.50
Fractional coordinates of all 12 atoms:
Sm (0.005, 0.005, 0.232)
Sm (0.327, 0.327, 0.427)
Sm (0.339, 0.339, 0.898)
Sm (0.661, 0.661, 0.102)
Sm (0.673, 0.673, 0.573)
Sm (0.995, 0.995, 0.768)
Si (0.166, 0.166, 0.339)
Si (0.834, 0.834, 0.661)
Pt (0.500, 0.500, 0.000)
Cl (0.173, 0.173, 0.838)
Cl (0.500, 0.500, 0.500)
Cl (0.827, 0.827, 0.162)

**Space-group type**: C2/m
**Formation energy (no corrections)**: -1.199 eV per atom
**Calculated volume**: 314.3 Å³ per cell
**Crystal system**: monoclinic

Entry 5:
The following is a PBE calculation of crystalline SrMgSbPd2 at its relaxed geometry, from Alexandria.

abc: 5.146 5.146 6.071
angles: 90.00 90.00 90.00
Fractional coordinates of all 5 atoms:
Sr (0.000, 0.000, 0.000)
Mg (0.500, 0.500, 0.500)
Sb (0.000, 0.000, 0.500)
Pd (0.000, 0.500, 0.000)
Pd (0.500, 0.000, 0.000)

**Space-group type**: P4/mmm
**Formation energy (no corrections)**: 0.722 eV per atom
**Calculated volume**: 160.8 Å³ per cell
**Crystal system**: tetragonal

Entry 6:
The following is a PBE calculation of crystalline CeSm2Ru2 at its relaxed geometry, from Alexandria.

abc: 7.296 7.296 7.296
angles: 117.42 84.97 128.83
Fractional coordinates of all 10 atoms:
Ce (0.250, 0.250, 0.000)
Ce (0.750, 0.750, 0.000)
Sm (0.169, 0.626, 0.795)
Sm (0.331, 0.126, 0.457)
Sm (0.669, 0.874, 0.543)
Sm (0.831, 0.374, 0.205)
Ru (0.079, 0.248, 0.327)
Ru (0.421, 0.748, 0.170)
Ru (0.579, 0.252, 0.830)
Ru (0.921, 0.752, 0.673)

**ΔH_f (0 K)**: -208 meV per atom
**Space-group type**: Ibam
**Relative energy among the computed polymorphs**: 0.137 eV per atom
**Calculated volume**: 256.9 Å³ per cell
**Crystal system**: orthorhombic

Entry 7:
The following is a PBE calculation of crystalline TiRe3B at its relaxed geometry, from Alexandria.

abc: 4.530 4.530 4.530
angles: 90.00 90.00 90.00
Fractional coordinates of all 5 atoms:
Ti (0.000, 0.000, 0.000)
Re (0.000, 0.000, 0.500)
Re (0.000, 0.500, 0.000)
Re (0.500, 0.000, 0.000)
B (0.500, 0.500, 0.500)

**ΔH_f (0 K)**: 2872 meV per atom
**Space-group type**: Pm-3m
**Relative energy among the computed polymorphs**: 2.857 eV per atom
**Calculated volume**: 93.0 Å³ per cell
**Crystal system**: cubic

Entry 8:
The following is a PBE calculation of crystalline PmEr6Tm3Th2 at its relaxed geometry, from Alexandria.

abc: 6.126 6.126 11.647
angles: 95.03 95.03 119.94
Fractional coordinates of all 12 atoms:
Pm (0.000, 0.000, 0.000)
Er (0.084, 0.421, 0.250)
Er (0.254, 0.254, 0.750)
Er (0.421, 0.084, 0.250)
Er (0.579, 0.916, 0.750)
Er (0.746, 0.746, 0.250)
Er (0.916, 0.579, 0.750)
Tm (0.166, 0.834, 0.500)
Tm (0.500, 0.500, 0.500)
Tm (0.834, 0.166, 0.500)
Th (0.333, 0.667, 0.000)
Th (0.667, 0.333, 0.000)

**ΔH_f (0 K)**: 34 meV per atom
**Space-group type**: C2/m
**Calculated volume**: 372.9 Å³ per cell
**Crystal system**: monoclinic

no.,E (eV per atom)
1,-2.26
2,-4.61
3,-4.57
4,-5.43
5,-2.83
6,-6.99
7,-7.51
8,-5.00